Density functional theory data (GGA-PBE) for a relaxed structure of Cd2CuIr.

- total moment (μB/cell) = 0.0
- volume (Å³ per cell) = 66.8
- E_tot (eV per cell) = -14.11
- symmetry = No. 123

Cell and atoms, written as extended XYZ:
```
4
Lattice="3.0744 0.0000 0.0000 0.0000 3.0744 0.0000 0.0000 0.0000 7.0700" Properties=species:S:1:pos:R:3 pbc="T T T"
Cd 0.0000 0.0000 1.7317
Cd 0.0000 0.0000 5.3383
Cu 1.5372 1.5372 0.0000
Ir 1.5372 1.5372 3.5350
```